[1]
This record from the Alexandria database describes a PBEsol-optimized structure of Mn3InCl. The functional is meta-GGA SCAN.

Properties
As for the symmetry: Pm-3m, No. 221.

Cell and atoms, written as extended XYZ:
```
5
Lattice="4.137 0.000 0.000 0.000 4.137 0.000 0.000 0.000 4.137" Properties=species:S:1:pos:R:3 pbc="T T T"
Mn 0.000 0.000 2.069
Mn 0.000 2.069 0.000
Mn 2.069 0.000 0.000
In 2.069 2.069 2.069
Cl 0.000 0.000 0.000
```

***

[2]
This record from the Alexandria database describes a PBEsol-optimized structure of MnInCl2. The functional is meta-GGA SCAN.

Properties
For the relative energy among the computed polymorphs, the calculation gives 316 meV/atom. As for the symmetry: Fm-3m, No. 225.

Cell and atoms, written as extended XYZ:
```
4
Lattice="0.000 3.500 3.500 3.500 0.000 3.500 3.500 3.500 0.000" Properties=species:S:1:pos:R:3 pbc="T T T"
Mn 0.000 0.000 0.000
In 3.500 3.500 3.500
Cl 1.750 1.750 1.750
Cl 5.250 5.250 5.250
```

***

[3]
This record from the Alexandria database describes a PBEsol-optimized structure of MnInCl2. The functional is meta-GGA SCAN.

Properties
For the relative energy among the computed polymorphs, the calculation gives 470 meV/atom. As for the symmetry: F-43m, No. 216.

Cell and atoms, written as extended XYZ:
```
4
Lattice="0.000 3.523 3.523 3.523 0.000 3.523 3.523 3.523 0.000" Properties=species:S:1:pos:R:3 pbc="T T T"
Mn 0.000 0.000 0.000
In 1.762 1.762 1.762
Cl 3.523 3.523 3.523
Cl 5.285 5.285 5.285
```

***

[4]
This record from the Alexandria database describes a PBEsol-optimized structure of MnInCl2. The functional is meta-GGA SCAN.

Properties
For the relative energy among the computed polymorphs, the calculation gives 0 meV/atom. As for the symmetry: Cmm2, No. 35.

Cell and atoms, written as extended XYZ:
```
4
Lattice="1.856 -2.862 0.000 1.856 2.862 0.000 0.000 0.000 8.589" Properties=species:S:1:pos:R:3 pbc="T T T"
Mn 0.000 0.000 0.000
In 1.856 0.000 2.118
Cl 0.000 0.000 3.975
Cl 1.856 0.000 7.127
```

***

[5]
This record from the Alexandria database describes a PBEsol-optimized structure of Mn2InPtCl. The functional is meta-GGA SCAN.

Properties
As for the symmetry: P4/mmm, No. 123.

Cell and atoms, written as extended XYZ:
```
5
Lattice="5.047 0.000 0.000 0.000 5.047 0.000 0.000 0.000 4.863" Properties=species:S:1:pos:R:3 pbc="T T T"
Mn 0.000 2.524 0.000
Mn 2.524 0.000 0.000
In 0.000 0.000 0.000
Pt 2.524 2.524 2.432
Cl 0.000 0.000 2.432
```

***

[6]
This record from the Alexandria database describes a PBEsol-optimized structure of MnInSCl2. The functional is meta-GGA SCAN.

Properties
As for the symmetry: P4/mmm, No. 123.

Cell and atoms, written as extended XYZ:
```
5
Lattice="5.038 0.000 0.000 0.000 5.038 0.000 0.000 0.000 5.004" Properties=species:S:1:pos:R:3 pbc="T T T"
Mn 0.000 0.000 0.000
In 2.519 2.519 2.502
S 2.519 2.519 0.000
Cl 0.000 2.519 2.502
Cl 2.519 0.000 2.502
```

***

Number 1: density 7.39 g/cm3, E_form (uncorrected) 0.50 eV per atom. Number 2: density 4.66 g/cm3, E_form (uncorrected) -0.43 eV per atom. Number 3: density 4.57 g/cm3, E_form (uncorrected) -0.27 eV per atom. Number 4: density 4.38 g/cm3, E_form (uncorrected) -0.74 eV per atom. Number 5: density 6.10 g/cm3, E_form (uncorrected) 0.99 eV per atom. Number 6: density 3.57 g/cm3, E_form (uncorrected) -0.41 eV per atom.